1.
Below is a geometry-optimized AsPbIN2 structure, with properties calculated at the PBE level.

- magnetization (μB/f.u.) = 1.16
- excess energy over the best structure of this formula in the dataset (meV/atom) = 0
- N(E_F) (states/eV/atom) = 0.234
- formation energy (no corrections) (eV/atom) = 1.39

Structure (CIF):
```
data_AsPbIN2
_chemical_formula_sum 'As1 Pb1 I1 N2'
_space_group_name_H-M_alt 'P 4/m m m'
_space_group_IT_number 123
_space_group_name_Hall '-P 4 2'
_cell_length_a 4.266
_cell_length_b 4.266
_cell_length_c 6.154
_cell_angle_alpha 90.00
_cell_angle_beta 90.00
_cell_angle_gamma 90.00
loop_
_atom_site_label
_atom_site_type_symbol
_atom_site_fract_x
_atom_site_fract_y
_atom_site_fract_z
As1 As 0.000 0.000 0.000
Pb1 Pb 0.500 0.500 0.500
I1 I 0.000 0.000 0.500
N1 N 0.000 0.500 0.000
```

2.
Below is a geometry-optimized AsPbIN2 structure, with properties calculated at the PBE level.

- magnetization (μB/f.u.) = 3.44
- excess energy over the best structure of this formula in the dataset (meV/atom) = 396
- N(E_F) (states/eV/atom) = 0.512
- formation energy (no corrections) (eV/atom) = 1.79

Structure (CIF):
```
data_AsPbIN2
_chemical_formula_sum 'As1 Pb1 I1 N2'
_space_group_name_H-M_alt 'P 4/m m m'
_space_group_IT_number 123
_space_group_name_Hall '-P 4 2'
_cell_length_a 4.441
_cell_length_b 4.441
_cell_length_c 7.119
_cell_angle_alpha 90.00
_cell_angle_beta 90.00
_cell_angle_gamma 90.00
loop_
_atom_site_label
_atom_site_type_symbol
_atom_site_fract_x
_atom_site_fract_y
_atom_site_fract_z
As1 As 0.000 0.000 0.000
Pb1 Pb 0.500 0.500 0.500
I1 I 0.500 0.500 0.000
N1 N 0.000 0.500 0.500
```

3.
Below is a geometry-optimized Pr4AsI2N structure, with properties calculated at the PBE level.

- magnetization (μB/f.u.) = 0.00
- N(E_F) (states/eV/atom) = 0.369
- formation energy (no corrections) (eV/atom) = -1.22

Structure (CIF):
```
data_Pr4AsI2N
_chemical_formula_sum 'Pr4 As1 I2 N1'
_space_group_name_H-M_alt 'P 1 2/m 1'
_space_group_IT_number 10
_space_group_name_Hall '-P 2y'
_cell_length_a 7.224
_cell_length_b 4.067
_cell_length_c 8.124
_cell_angle_alpha 90.00
_cell_angle_beta 106.99
_cell_angle_gamma 90.00
loop_
_atom_site_label
_atom_site_type_symbol
_atom_site_fract_x
_atom_site_fract_y
_atom_site_fract_z
Pr1 Pr 0.197 0.000 0.178
Pr2 Pr 0.228 0.500 0.819
As1 As 0.500 0.000 0.000
I1 I 0.000 0.000 0.500
I2 I 0.500 0.500 0.500
N1 N 0.000 0.500 0.000
```

4.
Below is a geometry-optimized ReAsIN2 structure, with properties calculated at the PBE level.

- magnetization (μB/f.u.) = 4.16
- excess energy over the best structure of this formula in the dataset (meV/atom) = 1220
- N(E_F) (states/eV/atom) = 0.745
- formation energy (no corrections) (eV/atom) = 2.17

Structure (CIF):
```
data_ReAsIN2
_chemical_formula_sum 'Re1 As1 I1 N2'
_space_group_name_H-M_alt 'P 4/m m m'
_space_group_IT_number 123
_space_group_name_Hall '-P 4 2'
_cell_length_a 3.832
_cell_length_b 3.832
_cell_length_c 6.819
_cell_angle_alpha 90.00
_cell_angle_beta 90.00
_cell_angle_gamma 90.00
loop_
_atom_site_label
_atom_site_type_symbol
_atom_site_fract_x
_atom_site_fract_y
_atom_site_fract_z
Re1 Re 0.000 0.000 0.000
As1 As 0.500 0.500 0.500
I1 I 0.500 0.500 0.000
N1 N 0.000 0.500 0.500
```